[1]
Compound: TiRe2Mo2
Source: the Alexandria database
Functional: PBE
Structure: optimized geometry

a b c (Å): 3.1318 4.4168 11.2593
angles (deg): 90.00 98.03 90.00
Element x y z (fractional)
Ti 0.8514 0.7500 0.7028
Ti 0.1486 0.2500 0.2972
Re 0.6500 0.7500 0.3000
Re 0.3500 0.2500 0.7000
Re 0.4502 0.7500 0.9000
Re 0.5498 0.2500 0.1000
Mo 0.7517 0.2500 0.5036
Mo 0.9498 0.2500 0.9007
Mo 0.2483 0.7500 0.4964
Mo 0.0502 0.7500 0.0993

Results
symmetry	No. 63
crystal system	orthorhombic
formation energy	-0.194	eV/atom



[2]
Compound: RbZrNiSe3
Source: the Alexandria database
Functional: PBE
Structure: optimized geometry

a b c (Å): 3.8633 9.2654 9.8024
angles (deg): 115.04 90.00 90.00
Site moments in Bohr magnetons follow the coordinates.
Element x y z (fractional)
Se 0.2500 0.8019 0.4667  0.01
Se 0.2500 0.1166 0.8561  0.01
Se 0.7500 0.8834 0.1439  0.01
Se 0.7500 0.1981 0.5333  0.01
Se 0.7500 0.4738 0.1504  0.00
Se 0.2500 0.5262 0.8496  0.00
Ni 0.7500 0.9111 0.4024  0.14
Ni 0.2500 0.0889 0.5976  0.14
Rb 0.7500 0.7745 0.7525  0.00
Rb 0.2500 0.2255 0.2475  0.00
Zr 0.2500 0.6927 0.1656  -0.01
Zr 0.7500 0.3073 0.8344  -0.01

Results
energy relative to the elements, uncorrected	-1.096	eV/atom
symmetry	No. 11
crystal system	monoclinic



[3]
Compound: SrBi3N
Source: the Alexandria database
Functional: PBE
Structure: optimized geometry

a b c (Å): 5.1157 5.1157 5.1157
angles (deg): 90.00 90.00 90.00
Element x y z (fractional)
Bi 0.0000 0.0000 0.5000
Bi 0.0000 0.5000 0.0000
Bi 0.5000 0.0000 0.0000
N 0.0000 0.0000 0.0000
Sr 0.5000 0.5000 0.5000

Results
energy relative to the elements, uncorrected	0.145	eV/atom
symmetry	No. 221
crystal system	cubic



Number 1: density 13.2 g cm⁻³. Number 2: density 4.9 g cm⁻³. Number 3: density 9.0 g cm⁻³.